# 1
The following is a PBE calculation of a relaxed Sc2SbMo crystal, from the Alexandria database.

```
data_Sc2SbMo
_cell_length_a 3.7581
_cell_length_b 4.5368
_cell_length_c 9.4195
_cell_angle_alpha 90.00
_cell_angle_beta 90.00
_cell_angle_gamma 90.00
_symmetry_space_group_name_H-M 'I m m 2'
_symmetry_Int_Tables_number 44
_symmetry_space_group_name_Hall 'I 2 -2'
loop_
_atom_site_label
_atom_site_type_symbol
_atom_site_fract_x
_atom_site_fract_y
_atom_site_fract_z
_atom_site_occupancy
Sc1 Sc 0.0000 0.0000 0.0000 1
Sc2 Sc 0.0000 0.5000 0.2405 1
Sb1 Sb 0.0000 0.0000 0.4782 1
Mo1 Mo 0.0000 0.5000 0.7444 1
```

Energy above the most stable polymorph in this dataset in meV per atom: 112
Electronic total energy in eV per cell: -56.9
Formation energy without anion corrections in eV/f.u.: -0.841

***

# 2
The following is a PBE calculation of a relaxed ScSbMo2 crystal, from the Alexandria database.

```
data_ScSbMo2
_cell_length_a 4.0656
_cell_length_b 4.0656
_cell_length_c 4.3519
_cell_angle_alpha 90.00
_cell_angle_beta 90.00
_cell_angle_gamma 90.00
_symmetry_space_group_name_H-M 'P 4/m m m'
_symmetry_Int_Tables_number 123
_symmetry_space_group_name_Hall '-P 4 2'
loop_
_atom_site_label
_atom_site_type_symbol
_atom_site_fract_x
_atom_site_fract_y
_atom_site_fract_z
_atom_site_occupancy
Sc1 Sc 0.0000 0.0000 0.0000 1
Sb1 Sb 0.5000 0.5000 0.0000 1
Mo1 Mo 0.0000 0.5000 0.5000 1
```

Energy above the most stable polymorph in this dataset in meV per atom: 64
Electronic total energy in eV per cell: -32.1
Formation energy without anion corrections in eV/f.u.: -0.004

***

# 3
The following is a PBE calculation of a relaxed Sc3SbMo crystal, from the Alexandria database.

```
data_Sc3SbMo
_cell_length_a 5.0189
_cell_length_b 5.0189
_cell_length_c 5.0189
_cell_angle_alpha 90.00
_cell_angle_beta 90.00
_cell_angle_gamma 90.00
_symmetry_space_group_name_H-M 'P m -3 m'
_symmetry_Int_Tables_number 221
_symmetry_space_group_name_Hall '-P 4 2 3'
loop_
_atom_site_label
_atom_site_type_symbol
_atom_site_fract_x
_atom_site_fract_y
_atom_site_fract_z
_atom_site_occupancy
Sc1 Sc 0.0000 0.0000 0.5000 1
Sb1 Sb 0.5000 0.5000 0.5000 1
Mo1 Mo 0.0000 0.0000 0.0000 1
```

Energy above the most stable polymorph in this dataset in meV per atom: 0
Electronic total energy in eV per cell: -32.8
Formation energy without anion corrections in eV/f.u.: 1.168

***

# 4
The following is a PBE calculation of a relaxed ScSbMo2 crystal, from the Alexandria database.

```
data_ScSbMo2
_cell_length_a 3.4847
_cell_length_b 3.4847
_cell_length_c 6.0226
_cell_angle_alpha 90.00
_cell_angle_beta 90.00
_cell_angle_gamma 90.00
_symmetry_space_group_name_H-M 'P 4 m m'
_symmetry_Int_Tables_number 99
_symmetry_space_group_name_Hall 'P 4 -2'
loop_
_atom_site_label
_atom_site_type_symbol
_atom_site_fract_x
_atom_site_fract_y
_atom_site_fract_z
_atom_site_occupancy
Sc1 Sc 0.0000 0.0000 0.0000 1
Sb1 Sb 0.5000 0.5000 0.7278 1
Mo1 Mo 0.0000 0.0000 0.4798 1
Mo2 Mo 0.5000 0.5000 0.2449 1
```

Energy above the most stable polymorph in this dataset in meV per atom: 14
Electronic total energy in eV per cell: -32.3
Formation energy without anion corrections in eV/f.u.: -0.205